This record from Alexandria describes a geometry-optimized Li2CrO3 structure. The functional is PBE+U.

Unit cell a=5.115 b=5.115 c=9.090 alpha=100.48 beta=100.48 gamma=110.71
Each line ends with the local moment (μB).
Element x y z (fractional)
1 Li 0.996 0.496 0.992  0.00
2 Li 0.422 0.422 0.843  0.00
3 Li 0.828 0.328 0.657  0.00
4 Li 0.254 0.254 0.508  0.00
5 Li 0.746 0.746 0.492  0.00
6 Li 0.672 0.172 0.343  0.00
7 Li 0.578 0.578 0.157  0.00
8 Li 0.504 0.004 0.008  0.00
9 Cr 0.914 0.914 0.828  2.16
10 Cr 0.336 0.836 0.672  2.16
11 Cr 0.164 0.664 0.328  2.16
12 Cr 0.086 0.086 0.172  2.16
13 O 0.158 0.682 0.819  -0.07
14 O 0.661 0.136 0.819  -0.07
15 O 0.092 0.068 0.681  -0.07
16 O 0.589 0.614 0.681  -0.07
17 O 0.027 0.527 0.500  -0.03
18 O 0.473 0.973 0.500  -0.03
19 O 0.386 0.411 0.319  -0.07
20 O 0.932 0.908 0.319  -0.07
21 O 0.864 0.339 0.181  -0.07
22 O 0.318 0.842 0.181  -0.07
23 O 0.223 0.223 0.000  -0.03
24 O 0.777 0.777 0.000  -0.03

The calculated density comes out at 3.59 g/cm3. For the energy, the calculation gives -6.265 eV per atom.